(1)
# HfCu2Au2

A geometry-optimized HfCu2Au2 structure (PBE-GGA, the Alexandria database).

Lattice parameters (Å, degrees): 4.478 5.198 4.528 89.50 60.36 64.48
Fractional positions:
Hf  0.000  0.000  0.000
Au  0.568  0.646  0.217
Au  0.432  0.354  0.783
Cu  0.181  0.231  0.406
Cu  0.819  0.769  0.594

## Properties
**Energy relative to the elements**: -0.273 eV/atom

---

(2)
# HfCu6Au8

A geometry-optimized HfCu6Au8 structure (PBE-GGA, the Alexandria database).

Lattice parameters (Å, degrees): 6.421 6.421 6.421 81.36 81.36 81.36
Fractional positions:
Cu  0.575  0.226  0.425
Cu  0.226  0.425  0.575
Cu  0.774  0.575  0.425
Cu  0.425  0.575  0.226
Cu  0.425  0.774  0.575
Cu  0.575  0.425  0.774
Au  0.227  0.227  0.227
Au  0.812  0.397  0.080
Au  0.773  0.773  0.773
Au  0.603  0.920  0.188
Au  0.080  0.812  0.397
Au  0.397  0.080  0.812
Au  0.188  0.603  0.920
Au  0.920  0.188  0.603
Hf  0.000  0.000  0.000

## Properties
**Energy relative to the elements**: 0.021 eV/atom

---

(3)
# HfCu2Au2

A geometry-optimized HfCu2Au2 structure (PBE-GGA, the Alexandria database).

Lattice parameters (Å, degrees): 7.258 7.258 3.202 90.00 90.00 90.00
Fractional positions:
Cu  0.664  0.836  0.500
Cu  0.836  0.336  0.500
Cu  0.336  0.164  0.500
Cu  0.164  0.664  0.500
Hf  0.500  0.500  0.000
Hf  0.000  0.000  0.000
Au  0.636  0.136  0.000
Au  0.864  0.636  0.000
Au  0.136  0.364  0.000
Au  0.364  0.864  0.000

## Properties
**Energy relative to the elements**: -0.062 eV/atom

---

(4)
# Hf3CuAu

A geometry-optimized Hf3CuAu structure (PBE-GGA, the Alexandria database).

Lattice parameters (Å, degrees): 4.803 4.803 4.803 90.00 90.00 90.00
Fractional positions:
Au  0.500  0.500  0.500
Hf  0.000  0.500  0.000
Hf  0.000  0.000  0.500
Hf  0.500  0.000  0.000
Cu  0.000  0.000  0.000

## Properties
**Energy relative to the elements**: 0.476 eV/atom

---

(5)
# HfCu3Au7

A geometry-optimized HfCu3Au7 structure (PBE-GGA, the Alexandria database).

Lattice parameters (Å, degrees): 5.428 7.212 7.212 82.72 121.57 121.57
Fractional positions:
Cu  0.500  0.000  0.000
Cu  0.000  0.232  0.768
Cu  0.000  0.768  0.232
Au  0.338  0.591  0.063
Au  0.300  0.179  0.179
Au  0.700  0.821  0.821
Au  0.662  0.409  0.937
Au  0.000  0.500  0.500
Au  0.338  0.063  0.591
Au  0.662  0.937  0.409
Hf  0.500  0.500  0.500

## Properties
**Energy relative to the elements**: 0.026 eV/atom

---

(6)
# HfCuAu3

A geometry-optimized HfCuAu3 structure (PBE-GGA, the Alexandria database).

Lattice parameters (Å, degrees): 5.160 7.424 4.836 90.00 91.58 90.00
Fractional positions:
Cu  0.512  0.750  0.647
Cu  0.488  0.250  0.353
Au  0.718  0.060  0.828
Au  0.282  0.560  0.172
Au  0.282  0.940  0.172
Au  0.718  0.440  0.828
Au  0.970  0.250  0.337
Au  0.030  0.750  0.663
Hf  0.232  0.250  0.830
Hf  0.768  0.750  0.170

## Properties
**Energy relative to the elements**: -0.205 eV/atom

---

(7)
# HfCuAu2

A geometry-optimized HfCuAu2 structure (PBE-GGA, the Alexandria database).

Lattice parameters (Å, degrees): 3.756 3.756 6.754 73.86 73.86 60.00
Fractional positions:
Cu  0.000  0.000  0.000
Hf  0.500  0.500  0.500
Au  0.256  0.256  0.232
Au  0.744  0.744  0.768

## Properties
**Energy relative to the elements**: -0.133 eV/atom

---

(8)
# HfCu2Au

A geometry-optimized HfCu2Au structure (PBE-GGA, the Alexandria database).

Lattice parameters (Å, degrees): 3.278 3.278 5.955 90.00 90.00 90.00
Site moments in Bohr magnetons follow the coordinates.
Fractional positions:
Cu  0.000  0.000  0.761  0.04
Cu  0.000  0.000  0.239  0.04
Hf  0.500  0.500  0.500  0.23
Au  0.500  0.500  0.000  0.01

## Properties
**Energy relative to the elements**: -0.134 eV/atom

---

(9)
# Hf2CuAu2

A geometry-optimized Hf2CuAu2 structure (PBE-GGA, the Alexandria database).

Lattice parameters (Å, degrees): 7.284 7.284 3.637 90.00 90.00 90.00
Fractional positions:
Hf  0.669  0.831  0.500
Hf  0.169  0.669  0.500
Hf  0.331  0.169  0.500
Hf  0.831  0.331  0.500
Cu  0.000  0.000  0.000
Cu  0.500  0.500  0.000
Au  0.864  0.636  0.000
Au  0.636  0.136  0.000
Au  0.136  0.364  0.000
Au  0.364  0.864  0.000

## Properties
**Energy relative to the elements**: -0.264 eV/atom

---

(10)
# HfCuAu2

A geometry-optimized HfCuAu2 structure (PBE-GGA, the Alexandria database).

Lattice parameters (Å, degrees): 6.072 6.072 6.072 54.58 134.42 151.60
Fractional positions:
Au  0.000  0.760  0.760
Au  0.000  0.240  0.240
Cu  0.000  0.000  0.000
Hf  0.000  0.500  0.500

## Properties
**Energy relative to the elements**: 0.152 eV/atom

---

(11)
# HfCuAu3

A geometry-optimized HfCuAu3 structure (PBE-GGA, the Alexandria database).

Lattice parameters (Å, degrees): 5.203 5.203 5.203 90.00 90.00 90.00
Fractional positions:
Au  0.000  0.500  0.000
Au  0.500  0.000  0.000
Au  0.000  0.000  0.500
Cu  0.500  0.500  0.500
Hf  0.000  0.000  0.000

## Properties
**Energy relative to the elements**: 0.900 eV/atom

---

(12)
# HfCuAu2

A geometry-optimized HfCuAu2 structure (PBE-GGA, the Alexandria database).

Lattice parameters (Å, degrees): 4.747 4.777 6.070 90.00 90.00 90.00
Fractional positions:
Cu  0.000  0.323  0.500
Cu  0.500  0.677  0.000
Au  0.500  0.180  0.243
Au  0.500  0.180  0.757
Au  0.000  0.820  0.257
Au  0.000  0.820  0.743
Hf  0.500  0.666  0.500
Hf  0.000  0.334  0.000

## Properties
**Energy relative to the elements**: -0.395 eV/atom